Record 1
{"formula": "MoPt2", "functional": "PBE-GGA", "state": "optimized geometry", "formation_energy_mev_per_atom": -242, "crystal_system": "hexagonal", "relative_energy_kj_per_mol_atoms": 13.21, "cell": [[3.8415, -6.6537, 0.0000], [3.8415, 6.6537, 0.0000], [0.0000, 0.0000, 2.7593]], "species": ["Mo", "Mo", "Mo", "Pt", "Pt", "Pt", "Pt", "Pt", "Pt"], "frac_coords": [[0.0000, 0.0000, 0.5000], [0.3333, 0.6667, 0.0000], [0.6667, 0.3333, 0.0000], [0.6976, 0.6976, 0.0000], [0.3630, 0.3630, 0.5000], [0.0000, 0.3024, 0.0000], [0.0000, 0.6370, 0.5000], [0.3024, 0.0000, 0.0000], [0.6370, 0.0000, 0.5000]]}


Record 2
{"formula": "Ac4IrBr2N", "functional": "PBE-GGA", "state": "optimized geometry", "raw_formation_energy_mev_per_atom": -1131, "crystal_system": "monoclinic", "cell": [[4.1094, 0.0000, 0.0000], [0.0000, 7.3009, 0.0249], [0.0000, -2.6756, 8.1760]], "species": ["Ac", "Ac", "Ac", "Ac", "Ir", "Br", "Br", "N"], "frac_coords": [[0.5000, 0.2099, 0.1863], [0.5000, 0.7901, 0.8137], [0.0000, 0.2501, 0.8095], [0.0000, 0.7499, 0.1905], [0.5000, 0.5000, 0.0000], [0.5000, 0.0000, 0.5000], [0.0000, 0.5000, 0.5000], [0.0000, 0.0000, 0.0000]]}


- Number 2 is which compound?
  Ac4IrBr2N


What did the first record say?
{"formula": "MoPt2", "functional": "PBE-GGA", "state": "optimized geometry", "formation_energy_mev_per_atom": -242, "crystal_system": "hexagonal", "relative_energy_kj_per_mol_atoms": 13.21, "cell": [[3.8415, -6.6537, 0.0000], [3.8415, 6.6537, 0.0000], [0.0000, 0.0000, 2.7593]], "species": ["Mo", "Mo", "Mo", "Pt", "Pt", "Pt", "Pt", "Pt", "Pt"], "frac_coords": [[0.0000, 0.0000, 0.5000], [0.3333, 0.6667, 0.0000], [0.6667, 0.3333, 0.0000], [0.6976, 0.6976, 0.0000], [0.3630, 0.3630, 0.5000], [0.0000, 0.3024, 0.0000], [0.0000, 0.6370, 0.5000], [0.3024, 0.0000, 0.0000], [0.6370, 0.0000, 0.5000]]}


Repeat the second record exactly.
{"formula": "Ac4IrBr2N", "functional": "PBE-GGA", "state": "optimized geometry", "raw_formation_energy_mev_per_atom": -1131, "crystal_system": "monoclinic", "cell": [[4.1094, 0.0000, 0.0000], [0.0000, 7.3009, 0.0249], [0.0000, -2.6756, 8.1760]], "species": ["Ac", "Ac", "Ac", "Ac", "Ir", "Br", "Br", "N"], "frac_coords": [[0.5000, 0.2099, 0.1863], [0.5000, 0.7901, 0.8137], [0.0000, 0.2501, 0.8095], [0.0000, 0.7499, 0.1905], [0.5000, 0.5000, 0.0000], [0.5000, 0.0000, 0.5000], [0.0000, 0.5000, 0.5000], [0.0000, 0.0000, 0.0000]]}